# 1
LiScOs2 | GGA-PBE | relaxed

Output
energy above the lowest structure with this stoichiometry = 368.2 meV/atom
energy relative to the elements = 0.3351 eV/atom
DOS at the Fermi energy = 4.4 states/eV per cell
DFT total energy = -7.341 eV/atom
total magnetic moment = 0.0000 μB per atom

POSCAR file:
```
LiScOs2
1.0
0.0000 3.0973 3.0973
3.0973 0.0000 3.0973
3.0973 3.0973 0.0000
Sc Os Li
1 2 1
Cartesian
3.0973 3.0973 3.0973
1.5486 1.5486 1.5486
4.6459 4.6459 4.6459
0.0000 0.0000 0.0000
```

# 2
TcMo4As | GGA-PBE | relaxed

Output
energy relative to the elements = 0.5473 eV/atom
DOS at the Fermi energy = 6.3 states/eV per cell
DFT total energy = -9.176 eV/atom
total magnetic moment = 0.0000 μB per atom

POSCAR file:
```
TcMo4As
1.0
0.6557 1.1251 5.0238
-2.3350 4.1544 2.0551
-3.9312 -0.6160 3.3317
Tc Mo As
1 4 1
Cartesian
-4.2079 3.4976 7.8080
-1.7682 2.3112 6.4252
-4.0793 1.4340 5.5727
-3.2750 3.8375 4.9294
-2.0985 1.7443 3.8940
0.0000 0.0000 0.0000
```

Across the entries above, mass density takes the values 12.08, 9.35 g cm⁻³, respectively.